No. 1
# Cs2K3Ag2

An optimized crystal structure of Cs2K3Ag2 (GGA-PBE, Alexandria via LeMat-Bulk).

V ... 55.78 A^3/atom
Energy of formation ... 0.0246 eV/atom
Size of the total moment ... 0.0 μB/cell

Unit cell a=14.9863 b=5.2330 c=10.0752 alpha=90.00 beta=98.76 gamma=90.00
With the nearest neighbours (Å) after each atom.
Space group C2/m (No. 12)
Asymmetric unit:
Cs (0.1231, 0.0000, 0.3780)  4 Ag 3.81-3.82
K (0.0000, 0.5000, 0.0000)  2 Ag 4.02, 4 K 4.26
K (0.1763, 0.0000, 0.8293)  2 Ag 3.59
Ag (0.0623, 0.5000, 0.6259)  1 Ag 2.91

No. 2
# Ac2GeI

An optimized crystal structure of Ac2GeI (GGA-PBE, Alexandria via LeMat-Bulk).

V ... 37.76 A^3/atom
Raw formation energy ... -0.9659 eV per atom
E above lowest polymorph ... 0.047 eV/atom
Size of the total moment ... 0.0 μB/cell

Unit cell a=4.5329 b=4.5329 c=8.4887 alpha=90.00 beta=90.00 gamma=120.00
With the nearest neighbours (Å) after each atom.
Space group P-3m1 (No. 164)
Asymmetric unit:
Ac (0.3333, 0.6667, 0.2004)  3 Ge 3.12
Ge (0.0000, 0.0000, 0.0000)  6 Ac 3.12
I (0.0000, 0.0000, 0.5000)  6 Ac 3.65

No. 3
# ErReAgO6

An optimized crystal structure of ErReAgO6 (GGA-PBE, Alexandria via LeMat-Bulk).

V ... 14.21 A^3/atom
Raw formation energy ... -1.6940 eV per atom
Size of the total moment ... 0.0 μB/cell

Unit cell a=5.8570 b=9.1196 c=4.8944 alpha=90.00 beta=101.93 gamma=90.00
With the nearest neighbours (Å) after each atom.
Space group C2 (No. 5)
Asymmetric unit:
Er (0.0000, 0.0000, 0.0000)  6 O 2.21-2.24
Re (0.0000, 0.3432, 0.0000)  6 O 1.83-1.96
Ag (0.0000, 0.6715, 0.5000)  4 O 2.17-2.23
O (0.0822, 0.2012, 0.7753)  1 Re 1.83
O (0.1255, 0.4972, 0.7938)  1 Re 1.96, 1 Ag 2.17
O (0.1878, 0.8505, 0.7662)  1 Re 1.95

No. 4
# Sm3ThIn4

An optimized crystal structure of Sm3ThIn4 (GGA-PBE, Alexandria via LeMat-Bulk).

V ... 28.13 A^3/atom
Energy of formation ... -0.4350 eV/atom
Size of the total moment ... 0.0 μB/cell

Unit cell a=3.5751 b=3.5751 c=17.6057 alpha=90.00 beta=90.00 gamma=90.00
With the nearest neighbours (Å) after each atom.
Space group P4/mmm (No. 123)
Asymmetric unit:
Sm (0.0000, 0.0000, 0.0000)  8 In 3.34, 4 Sm 3.58
Sm (0.0000, 0.0000, 0.2472)  8 In 3.33-3.34, 4 Sm 3.58
Th (0.0000, 0.0000, 0.5000)  8 In 3.39, 4 Th 3.58
In (0.5000, 0.5000, 0.1237)  8 Sm 3.33-3.34, 4 In 3.58
In (0.5000, 0.5000, 0.3715)  4 Sm 3.34, 4 Th 3.39, 4 In 3.58

No. 5
# Mn2Ge2Rh

An optimized crystal structure of Mn2Ge2Rh (GGA-PBE, Alexandria via LeMat-Bulk).

V ... 13.27 A^3/atom
E above lowest polymorph ... 0.239 eV/atom
Energy of formation ... 0.0931 eV/atom
Size of the total moment ... 0.0 μB/cell

Unit cell a=6.8699 b=6.8699 c=2.8114 alpha=90.00 beta=90.00 gamma=90.00
With the nearest neighbours (Å) after each atom.
Space group P4/mbm (No. 127)
Asymmetric unit:
Mn (0.1139, 0.3861, 0.0000)  1 Mn 2.21, 2 Ge 2.43
Ge (0.1816, 0.6816, 0.5000)  6 Mn 2.43-2.51
Rh (0.0000, 0.0000, 0.0000)  4 Mn 2.77, 2 Rh 2.81, 8 Ge 2.88

No. 6
# LiCe4Pm3S8

An optimized crystal structure of LiCe4Pm3S8 (GGA-PBE, Alexandria via LeMat-Bulk).

V ... 22.90 A^3/atom
Raw formation energy ... -1.9656 eV per atom
Size of the total moment ... 11.2 μB/cell

Unit cell a=8.0218 b=8.0218 c=19.7195 alpha=90.00 beta=90.00 gamma=120.00
With the nearest neighbours (Å) after each atom.
Space group R-3m (No. 166, hexagonal axes)
Asymmetric unit:
Li (0.0000, 0.0000, 0.0000)  6 S 2.77
Ce (0.0000, 0.0000, 0.5000)  6 S 2.91
Ce (0.0000, 0.5000, 0.5000)  6 S 2.84
Pm (0.0000, 0.5000, 0.0000)  6 S 2.84
S (0.0000, 0.0000, 0.2500)  3 Ce 2.84, 3 Pm 2.84
S (0.0079, 0.5040, 0.7481)  1 Li 2.77, 3 Ce 2.84-2.91, 2 Pm 2.84

No. 7
# La7Dy2Ho2

An optimized crystal structure of La7Dy2Ho2 (GGA-PBE, Alexandria via LeMat-Bulk).

V ... 36.59 A^3/atom
E above lowest polymorph ... 0.180 eV/atom
Energy of formation ... 0.3008 eV/atom
Size of the total moment ... 0.0 μB/cell

Unit cell a=6.7604 b=12.1602 c=9.7924 alpha=90.00 beta=90.00 gamma=90.00
With the nearest neighbours (Å) after each atom.
Space group Cmmm (No. 65)
Asymmetric unit:
La (0.0000, 0.0000, 0.0000)  2 Dy 3.26
La (0.0000, 0.5000, 0.1746)  2 Dy 3.30, 1 La 3.42, 2 Ho 3.60
La (0.2500, 0.2500, 0.3180)  5 La 3.38-3.75, 2 Ho 3.52, 2 Dy 3.55
Dy (0.0000, 0.2679, 0.0000)  7 La 3.26-3.55, 2 Dy 3.41
Ho (0.2479, 0.5000, 0.5000)  2 Ho 3.35-3.41, 6 La 3.52-3.60

No. 8
# RbBaS2Cl

An optimized crystal structure of RbBaS2Cl (GGA-PBE, Alexandria via LeMat-Bulk).

V ... 44.58 A^3/atom
Raw formation energy ... -0.9470 eV per atom
E above lowest polymorph ... 0.000 eV/atom
Size of the total moment ... 2.0 μB/cell

Unit cell a=6.0657 b=6.0657 c=6.0580 alpha=90.00 beta=90.00 gamma=90.00
With the nearest neighbours (Å) after each atom.
Space group P4/mmm (No. 123)
Asymmetric unit:
Rb (0.0000, 0.0000, 0.0000)  8 S 4.29, 4 Cl 4.29
Ba (0.5000, 0.5000, 0.5000)  2 Cl 3.03, 4 S 3.03
S (0.0000, 0.5000, 0.5000)  2 Ba 3.03
Cl (0.5000, 0.5000, 0.0000)  2 Ba 3.03

No. 9
# YSbW2

An optimized crystal structure of YSbW2 (GGA-PBE, Alexandria via LeMat-Bulk).

V ... 22.69 A^3/atom
Raw formation energy ... 1.0499 eV per atom
Size of the total moment ... 0.0 μB/cell

Unit cell a=8.0683 b=8.0683 c=5.5771 alpha=90.00 beta=90.00 gamma=90.00
With the nearest neighbours (Å) after each atom.
Space group I-42d (No. 122)
Asymmetric unit:
Y (0.0000, 0.0000, 0.0000)  2 Sb 2.79
Sb (0.0000, 0.0000, 0.5000)  4 W 2.70, 2 Y 2.79
W (0.2043, 0.2500, 0.6250)  2 Sb 2.70, 2 W 2.88

No. 10
# K4LiCe3S8

An optimized crystal structure of K4LiCe3S8 (GGA-PBE, Alexandria via LeMat-Bulk).

V ... 27.06 A^3/atom
Raw formation energy ... -1.6449 eV per atom
Size of the total moment ... 3.4 μB/cell

Unit cell a=8.2821 b=8.2821 c=21.8652 alpha=90.00 beta=90.00 gamma=120.00
With the nearest neighbours (Å) after each atom.
Space group R-3m (No. 166, hexagonal axes)
Asymmetric unit:
K (0.0000, 0.0000, 0.0000)  6 S 3.19
K (0.0000, 0.5000, 0.0000)  6 S 3.21-3.28
Li (0.0000, 0.0000, 0.5000)  6 S 2.86
Ce (0.0000, 0.5000, 0.5000)  6 S 2.76-2.83
S (0.0000, 0.0000, 0.2355)  3 Ce 2.83
S (0.0107, 0.5054, 0.7671)  2 Ce 2.76, 1 Li 2.86